An optimized crystal structure of Ta3W. Source: Alexandria via LeMat-Bulk, functional GGA-PBEsol.

Summary:
The value obtained for the total DFT energy (no corrections) is -12.89 eV per atom. Its density of states at the Fermi level is 1.13 states/eV/atom. The value obtained for the magnetization is 0.00 μB/f.u. For the formation energy, the calculation gives -0.025 eV per atom.

Unit cell a=3.217 b=4.621 c=9.164 alpha=90.00 beta=90.00 gamma=90.00
Space group Cmmm (No. 65)
Symmetry-distinct sites (fractional):
Ta 0.000 0.000 0.000 x2
Ta 0.000 0.500 0.257 x4
W 0.000 0.000 0.500 x2



An optimized crystal structure of Ca3Cd. Source: Alexandria via LeMat-Bulk, functional GGA-PBEsol.

Summary:
The value obtained for the total DFT energy (no corrections) is -1.97 eV per atom. Its density of states at the Fermi level is 0.98 states/eV/atom. The value obtained for the magnetization is 0.00 μB/f.u. For the formation energy, the calculation gives -0.073 eV per atom.

Unit cell a=3.8351 b=3.8351 c=33.1994 alpha=90.00 beta=90.00 gamma=120.00
Space group R-3m (No. 166, hexagonal axes)
Symmetry-distinct sites (fractional):
Ca 0.0000 0.0000 0.0000 x3
Ca 0.0000 0.0000 0.2372 x6
Cd 0.0000 0.0000 0.5000 x3



An optimized crystal structure of SiAg2Sb. Source: Alexandria via LeMat-Bulk, functional GGA-PBEsol.

Summary:
The value obtained for the total DFT energy (no corrections) is -3.97 eV per atom. Its density of states at the Fermi level is 0.36 states/eV/atom. The value obtained for the magnetization is 0.00 μB/f.u. The energy above the most stable polymorph in this dataset comes out at 27.4 meV per atom. The calculation puts the formation energy from raw total energies at 266 meV/atom.

Unit cell a=4.228 b=4.228 c=4.225 alpha=90.00 beta=90.00 gamma=90.00
Space group P4/mmm (No. 123)
Symmetry-distinct sites (fractional):
Si 0.000 0.000 0.000 x1
Ag 0.000 0.500 0.500 x2
Sb 0.500 0.500 0.000 x1



An optimized crystal structure of LiBe2Rh2. Source: Alexandria via LeMat-Bulk, functional GGA-PBEsol.

Summary:
The value obtained for the total DFT energy (no corrections) is -5.72 eV per atom. Its density of states at the Fermi level is 0.40 states/eV/atom. The value obtained for the magnetization is 0.00 μB/f.u. For the formation energy, the calculation gives -0.476 eV per atom.

Unit cell a=6.071 b=6.071 c=2.891 alpha=90.00 beta=90.00 gamma=90.00
Space group P4/mbm (No. 127)
Symmetry-distinct sites (fractional):
Li 0.000 0.000 0.000 x2
Be 0.126 0.374 0.000 x4
Rh 0.168 0.668 0.500 x4